# PBE KPaSN, relaxed
# ΔE_f (raw): -1268 meV/atom
# Fermi-level density of states: 0.37 states/eV per atom
# Magnetization: 0.251 μB per atom
# VASP energy: -0.258 hartree per atom
data_KPaSN
_chemical_formula_sum 'K2 Pa2 S2 N2'
_cell_length_a 6.478
_cell_length_b 3.741
_cell_length_c 7.719
_cell_angle_alpha 90.00
_cell_angle_beta 106.04
_cell_angle_gamma 90.00
_symmetry_space_group_name_H-M 'C 1 m 1'
_symmetry_Int_Tables_number 8
loop_
_symmetry_equiv_pos_as_xyz
'x,y,z'
'x,-y,z'
'x+1/2,y+1/2,z'
'x+1/2,-y+1/2,z'
loop_
_atom_site_label
_atom_site_fract_x
_atom_site_fract_y
_atom_site_fract_z
K1 0.000 0.000 0.000
Pa1 0.159 0.000 0.470
S1 0.072 0.500 0.714
N1 0.287 0.500 0.356

# PBE KScPaN3, relaxed
# ΔE_f (raw): -1271 meV/atom
# Fermi-level density of states: 0.00 states/eV per atom
# Magnetization: 0.000 μB per atom
# VASP energy: -0.303 hartree per atom
data_KScPaN3
_chemical_formula_sum 'K2 Sc2 Pa2 N6'
_cell_length_a 6.168
_cell_length_b 3.517
_cell_length_c 8.562
_cell_angle_alpha 90.00
_cell_angle_beta 93.63
_cell_angle_gamma 90.00
_symmetry_space_group_name_H-M 'P 1 21/m 1'
_symmetry_Int_Tables_number 11
loop_
_symmetry_equiv_pos_as_xyz
'x,y,z'
'-x,-y,-z'
'-x,y+1/2,-z'
'x,-y+1/2,z'
loop_
_atom_site_label
_atom_site_fract_x
_atom_site_fract_y
_atom_site_fract_z
K1 0.078 0.250 0.161
Sc1 0.229 0.750 0.503
Pa1 0.423 0.250 0.817
N1 0.128 0.250 0.626
N2 0.326 0.750 0.966
N3 0.461 0.250 0.333

# PBE K2PaSiN4, relaxed
# ΔE_f (raw): -650 meV/atom
# Fermi-level density of states: 0.40 states/eV per atom
# Magnetization: 0.000 μB per atom
# VASP energy: -0.255 hartree per atom
data_K2PaSiN4
_chemical_formula_sum 'K4 Pa2 Si2 N8'
_cell_length_a 6.197
_cell_length_b 6.841
_cell_length_c 6.921
_cell_angle_alpha 90.00
_cell_angle_beta 90.00
_cell_angle_gamma 90.00
_symmetry_space_group_name_H-M 'P m m n'
_symmetry_Int_Tables_number 59
loop_
_symmetry_equiv_pos_as_xyz
'x,y,z'
'-x,-y,-z'
'-x+1/2,-y+1/2,z'
'x+1/2,y+1/2,-z'
'x+1/2,-y,-z'
'-x+1/2,y,z'
'-x,y+1/2,-z'
'x,-y+1/2,z'
loop_
_atom_site_label
_atom_site_fract_x
_atom_site_fract_y
_atom_site_fract_z
K1 0.250 0.005 0.210
Pa1 0.250 0.250 0.666
Si1 0.250 0.750 0.669
N1 0.019 0.750 0.520
N2 0.250 0.533 0.805

# PBE K3Pa3SiN8, relaxed
# ΔE_f (raw): -732 meV/atom
# Fermi-level density of states: 0.77 states/eV per atom
# Magnetization: 0.060 μB per atom
# VASP energy: -0.281 hartree per atom
data_K3Pa3SiN8
_chemical_formula_sum 'K6 Pa6 Si2 N16'
_cell_length_a 12.532
_cell_length_b 6.587
_cell_length_c 7.639
_cell_angle_alpha 90.00
_cell_angle_beta 121.67
_cell_angle_gamma 90.00
_symmetry_space_group_name_H-M 'C 1 2/m 1'
_symmetry_Int_Tables_number 12
loop_
_symmetry_equiv_pos_as_xyz
'x,y,z'
'-x,-y,-z'
'-x,y,-z'
'x,-y,z'
'x+1/2,y+1/2,z'
'-x+1/2,-y+1/2,-z'
'-x+1/2,y+1/2,-z'
'x+1/2,-y+1/2,z'
loop_
_atom_site_label
_atom_site_fract_x
_atom_site_fract_y
_atom_site_fract_z
K1 0.000 0.000 0.000
K2 0.250 0.250 0.000
Pa1 0.000 0.500 0.500
Pa2 0.250 0.250 0.500
Si1 0.000 0.000 0.500
N1 0.027 0.206 0.361
N2 0.215 0.500 0.668
N3 0.229 0.500 0.303